VASP calculation (PBE+U) on an optimized crystal structure of FeNi2BiO6.

Computed properties:
Volume in Å³ per cell: 341.54
DFT total energy in eV per atom: -5.53
Total magnetic moment in μB per cell: 27.00

```
data_FeNi2BiO6
_cell_length_a 5.2753
_cell_length_b 5.2753
_cell_length_c 14.1717
_cell_angle_alpha 90.00
_cell_angle_beta 90.00
_cell_angle_gamma 120.00
_symmetry_space_group_name_H-M 'R 3'
_symmetry_Int_Tables_number 146
_symmetry_space_group_name_Hall 'R 3'
loop_
_atom_site_label
_atom_site_type_symbol
_atom_site_fract_x
_atom_site_fract_y
_atom_site_fract_z
Fe1 Fe 0.0000 0.0000 0.0000
Ni1 Ni 0.0000 0.0000 0.2937
Ni2 Ni 0.0000 0.0000 0.7932
Bi1 Bi 0.0000 0.0000 0.4986
O1 O 0.0091 0.2977 0.8970
O2 O 0.0270 0.6710 0.0603
```